No. 1
This record from the Alexandria database describes an optimized crystal structure of ScCuPt. The functional is GGA-PBE.

a b c (Å): 4.344 4.344 4.344
angles (deg): 60.00 60.00 60.00
Fractional coordinates of all 3 atoms:
Cu1 0.000 0.000 0.000
Pt1 0.500 0.500 0.500
Sc1 0.750 0.750 0.750

Computed properties:
The calculation puts the total energy at -5.81 eV per atom. The calculation puts the total magnetization at 0.0 μB/f.u. As for the space-group type: F-43m. Its energy relative to the lowest polymorph listed for this composition is 10.55 kcal/mol of atoms.

No. 2
This record from the Alexandria database describes an optimized crystal structure of Fe3AuCl12. The functional is GGA-PBE.

a b c (Å): 12.140 12.140 11.497
angles (deg): 58.13 58.13 60.00
Site moments in Bohr magnetons follow the coordinates.
Fractional coordinates of all 32 atoms:
Fe1 0.718 0.392 0.986  3.48
Fe2 0.218 0.403 0.486  3.48
Fe3 0.892 0.218 0.486  3.48
Fe4 0.392 0.903 0.986  3.48
Fe5 0.903 0.718 0.986  3.48
Fe6 0.403 0.892 0.486  3.48
Au1 0.046 0.046 0.862  -0.34
Au2 0.546 0.546 0.362  -0.34
Cl1 0.169 0.963 0.032  0.04
Cl2 0.141 0.251 0.705  0.06
Cl3 0.930 0.052 0.438  0.23
Cl4 0.842 0.523 0.823  0.25
Cl5 0.342 0.313 0.323  0.25
Cl6 0.430 0.080 0.938  0.23
Cl7 0.641 0.404 0.205  0.06
Cl8 0.052 0.580 0.438  0.23
Cl9 0.669 0.336 0.532  0.04
Cl10 0.904 0.141 0.705  0.06
Cl11 0.023 0.342 0.323  0.25
Cl12 0.336 0.463 0.532  0.04
Cl13 0.080 0.552 0.938  0.23
Cl14 0.836 0.169 0.032  0.04
Cl15 0.523 0.813 0.823  0.25
Cl16 0.404 0.751 0.205  0.06
Cl17 0.751 0.641 0.205  0.06
Cl18 0.552 0.430 0.938  0.23
Cl19 0.463 0.669 0.532  0.04
Cl20 0.813 0.842 0.823  0.25
Cl21 0.313 0.023 0.323  0.25
Cl22 0.963 0.836 0.032  0.04
Cl23 0.251 0.904 0.705  0.06
Cl24 0.580 0.930 0.438  0.23

Computed properties:
The calculation puts the total energy at -3.74 eV per atom. Its uncorrected formation energy is -0.56 eV/atom. The calculation puts the total magnetization at 13.0 μB/f.u. As for the space-group type: R3c.

No. 3
This record from the Alexandria database describes an optimized crystal structure of TbPmHoCu. The functional is GGA-PBE.

a b c (Å): 3.520 3.520 8.686
angles (deg): 90.00 90.00 90.00
Fractional coordinates of all 4 atoms:
Tb1 0.500 0.500 0.766
Pm1 0.000 0.000 0.074
Ho1 0.500 0.500 0.379
Cu1 0.000 0.000 0.567

Computed properties:
The calculation puts the total energy at -4.62 eV per atom. The calculation puts the total magnetization at 0.0 μB/f.u. As for the space-group type: P4mm.

No. 4
This record from the Alexandria database describes an optimized crystal structure of Rh2SeF. The functional is GGA-PBE.

a b c (Å): 6.375 6.375 5.402
angles (deg): 53.83 53.83 90.00
Fractional coordinates of all 8 atoms:
Rh1 0.627 0.125 0.250
Rh2 0.123 0.625 0.250
Rh3 0.375 0.373 0.750
Rh4 0.875 0.877 0.750
Se1 0.000 0.000 0.000
Se2 0.750 0.250 0.500
F1 0.500 0.500 0.000
F2 0.250 0.750 0.500

Computed properties:
The calculation puts the total energy at -5.24 eV per atom. Its uncorrected formation energy is -0.22 eV/atom. The calculation puts the total magnetization at 0.0 μB/f.u. As for the space-group type: I-42d. Its energy relative to the lowest polymorph listed for this composition is 3.49 kcal/mol of atoms.

No. 5
This record from the Alexandria database describes an optimized crystal structure of ScTiNb. The functional is GGA-PBE.

a b c (Å): 3.325 4.698 14.385
angles (deg): 49.21 117.50 134.99
Fractional coordinates of all 6 atoms:
Sc1 0.001 0.467 0.391
Sc2 0.999 0.533 0.609
Ti1 0.001 0.323 0.214
Ti2 0.999 0.677 0.786
Nb1 0.001 0.104 0.073
Nb2 0.999 0.896 0.927

Computed properties:
The calculation puts the total energy at -8.05 eV per atom. The calculation puts the total magnetization at 0.0 μB/f.u. As for the space-group type: P2_1/m. Its energy relative to the lowest polymorph listed for this composition is 0.00 kcal/mol of atoms.